TaWSe3 GGA-PBE optimized geometry; space-group type = Pm-3m (221); distance to the lowest polymorph of the same formula = 6.51 eV per formula unit; V = 125.3 Å³/cell; formation energy without anion corrections = 949 meV/atom; M_tot = 4.6 μB/f.u.; density of states at the Fermi level = 3.59 states/eV per cell
1.0
5.004 0.000 0.000
0.000 5.004 0.000
0.000 0.000 5.004
Se W Ta
3 1 1
direct
0.000 0.000 0.500 Se
0.500 0.000 0.000 Se
0.000 0.500 0.000 Se
0.500 0.500 0.500 W
0.000 0.000 0.000 Ta

Cs4PtBr GGA-PBE optimized geometry; space-group type = Cccm (66); V = 811.9 Å³/cell; formation energy without anion corrections = -589 meV/atom; M_tot = 0.0 μB/f.u.; density of states at the Fermi level = 5.11 states/eV per cell
1.0
9.258 -0.289 0.004
3.764 8.464 0.004
-0.001 -0.001 10.219
Cs Br Pt
8 2 2
direct
0.782 0.782 0.750 Cs
0.795 0.230 0.500 Cs
0.770 0.205 0.000 Cs
0.230 0.795 0.000 Cs
0.205 0.770 0.500 Cs
0.218 0.218 0.250 Cs
0.218 0.218 0.750 Cs
0.782 0.782 0.250 Cs
0.000 0.500 0.500 Br
0.500 0.000 0.000 Br
0.000 0.000 0.250 Pt
0.000 0.000 0.750 Pt

HgGe GGA-PBE optimized geometry; space-group type = Fm-3m (225); energy of formation = 304 meV/atom; distance to the lowest polymorph of the same formula = 0.31 eV per formula unit; V = 186.6 Å³/cell; M_tot = 0.0 μB/f.u.; density of states at the Fermi level = 4.28 states/eV per cell
1.0
-0.136 -3.261 4.690
3.882 -3.494 -2.317
4.190 3.131 2.299
Ge Hg
4 4
direct
0.000 0.500 0.000 Ge
0.000 0.000 0.500 Ge
0.500 0.000 0.000 Ge
0.500 0.500 0.500 Ge
0.500 0.500 0.000 Hg
0.000 0.000 0.000 Hg
0.500 0.000 0.500 Hg
0.000 0.500 0.500 Hg

Cs2RbV2S6 GGA-PBE optimized geometry; space-group type = R-3m (166); V = 428.4 Å³/cell; formation energy without anion corrections = -880 meV/atom; M_tot = 1.0 μB/f.u.; density of states at the Fermi level = 1.23 states/eV per cell
1.0
-4.317 -4.143 4.569
-4.328 -5.465 -2.842
3.653 -8.902 1.583
S V Rb Cs
6 2 1 2
direct
0.744 0.269 0.717 S
0.731 0.731 0.283 S
0.269 0.269 0.717 S
0.269 0.744 0.717 S
0.731 0.256 0.283 S
0.256 0.731 0.283 S
0.444 0.444 0.668 V
0.556 0.556 0.332 V
0.000 0.000 0.000 Rb
0.787 0.787 0.639 Cs
0.213 0.213 0.361 Cs

Li2MgNi GGA-PBE optimized geometry; space-group type = C2/m (12); energy of formation = -27 meV/atom; V = 61.7 Å³/cell; M_tot = 0.0 μB/f.u.; density of states at the Fermi level = 2.14 states/eV per cell
1.0
-4.168 -2.742 -2.152
-3.373 -4.254 0.212
-3.963 0.870 1.889
Li Ni Mg
2 1 1
direct
0.970 0.970 0.030 Li
0.530 0.530 0.470 Li
0.250 0.250 0.250 Ni
0.750 0.750 0.750 Mg

La5Ho3Er GGA-PBE optimized geometry; space-group type = C2/c (15); energy of formation = 62 meV/atom; distance to the lowest polymorph of the same formula = 0.00 eV per formula unit; V = 613.3 Å³/cell; M_tot = 0.0 μB/f.u.; density of states at the Fermi level = 26.54 states/eV per cell
1.0
9.852 0.000 0.000
-4.926 5.709 -5.148
0.000 -2.718 13.354
Ho La Er
6 10 2
direct
0.658 0.353 0.344 Ho
0.000 0.000 0.000 Ho
0.305 0.647 0.156 Ho
0.695 0.353 0.844 Ho
0.000 0.000 0.500 Ho
0.342 0.647 0.656 Ho
0.494 0.693 0.434 La
0.199 0.000 0.750 La
0.801 0.000 0.250 La
0.136 0.632 0.396 La
0.505 0.368 0.104 La
0.864 0.368 0.604 La
0.506 0.307 0.566 La
0.801 0.307 0.066 La
0.495 0.632 0.896 La
0.199 0.693 0.934 La
0.154 0.000 0.250 Er
0.846 0.000 0.750 Er

CeY6Tm12 GGA-PBE optimized geometry; space-group type = R-3m (166); energy of formation = 224 meV/atom; V = 612.5 Å³/cell; M_tot = 1.7 μB/f.u.; density of states at the Fermi level = 37.22 states/eV per cell
1.0
8.531 -0.199 -1.214
-1.371 8.423 -1.214
-0.173 -0.199 8.615
Tm Y Ce
12 6 1
direct
0.500 0.755 0.245 Tm
0.245 0.755 0.500 Tm
0.755 0.245 0.500 Tm
0.078 0.350 0.350 Tm
0.500 0.245 0.755 Tm
0.650 0.650 0.922 Tm
0.350 0.350 0.078 Tm
0.922 0.650 0.650 Tm
0.245 0.500 0.755 Tm
0.350 0.078 0.350 Tm
0.755 0.500 0.245 Tm
0.650 0.922 0.650 Tm
0.894 0.339 0.894 Y
0.106 0.106 0.661 Y
0.106 0.661 0.106 Y
0.894 0.894 0.339 Y
0.661 0.106 0.106 Y
0.339 0.894 0.894 Y
0.000 0.000 0.000 Ce

CsHfCoSb2 GGA-PBE optimized geometry; space-group type = P4/mmm (123); V = 136.6 Å³/cell; formation energy without anion corrections = 432 meV/atom; M_tot = 0.0 μB/f.u.; density of states at the Fermi level = 5.52 states/eV per cell
1.0
5.285 0.000 0.000
0.000 4.890 0.000
0.000 0.000 5.285
Hf Sb Co Cs
1 2 1 1
direct
0.000 0.500 0.000 Hf
0.000 0.000 0.500 Sb
0.500 0.000 0.000 Sb
0.000 0.000 0.000 Co
0.500 0.500 0.500 Cs

LiAcMg2Hg2 GGA-PBE optimized geometry; space-group type = P-3m1 (164); energy of formation = -344 meV/atom; V = 152.7 Å³/cell; M_tot = 0.0 μB/f.u.; density of states at the Fermi level = 4.02 states/eV per cell
1.0
4.905 0.000 0.000
-2.453 4.248 0.000
0.000 0.000 7.328
Li Mg Ac Hg
1 2 1 2
direct
0.000 0.000 0.500 Li
0.333 0.667 0.657 Mg
0.667 0.333 0.343 Mg
0.000 0.000 0.000 Ac
0.667 0.333 0.740 Hg
0.333 0.667 0.260 Hg

Mn3Pt2Rh GGA-PBE optimized geometry; space-group type = P2/m (10); energy of formation = -294 meV/atom; V = 178.5 Å³/cell; M_tot = 13.6 μB/f.u.; density of states at the Fermi level = 6.26 states/eV per cell
1.0
4.378 0.006 0.017
2.198 6.569 0.009
-0.025 0.000 6.211
Pt Mn Rh
4 6 2
direct
0.000 0.000 0.000 Pt
0.666 0.667 0.500 Pt
0.000 0.000 0.500 Pt
0.334 0.333 0.500 Pt
0.168 0.665 0.755 Mn
0.168 0.665 0.245 Mn
0.832 0.335 0.245 Mn
0.500 0.000 0.753 Mn
0.832 0.335 0.755 Mn
0.500 0.000 0.247 Mn
0.334 0.333 0.000 Rh
0.666 0.667 0.000 Rh

Nb2ReSbMo GGA-PBE optimized geometry; space-group type = P4/mmm (123); V = 113.2 Å³/cell; formation energy without anion corrections = 1746 meV/atom; M_tot = 1.4 μB/f.u.; density of states at the Fermi level = 7.82 states/eV per cell
1.0
4.767 0.000 0.000
0.000 4.979 0.000
0.000 0.000 4.767
Nb Sb Mo Re
2 1 1 1
direct
0.000 0.000 0.500 Nb
0.500 0.000 0.000 Nb
0.000 0.500 0.000 Sb
0.000 0.000 0.000 Mo
0.500 0.500 0.500 Re

Pu2Hg3Pd8 GGA-PBE optimized geometry; space-group type = C2/m (12); energy of formation = -143 meV/atom; V = 274.4 Å³/cell; M_tot = 9.9 μB/f.u.; density of states at the Fermi level = 30.45 states/eV per cell
1.0
6.406 0.000 0.098
0.000 5.459 0.000
-2.483 -2.729 7.811
Pd Hg Pu
8 3 2
direct
0.941 0.339 0.679 Pd
0.192 0.841 0.681 Pd
0.592 0.617 0.735 Pd
0.408 0.882 0.265 Pd
0.808 0.159 0.319 Pd
0.592 0.118 0.735 Pd
0.408 0.383 0.265 Pd
0.059 0.661 0.321 Pd
0.000 0.751 0.000 Hg
0.000 0.249 0.000 Hg
0.500 0.000 0.000 Hg
0.246 0.251 0.503 Pu
0.754 0.749 0.497 Pu

Which of these has the lowest density of states at the Fermi level? Cs2RbV2S6

Copy entry 1 word for word.
TaWSe3 GGA-PBE optimized geometry; space-group type = Pm-3m (221); distance to the lowest polymorph of the same formula = 6.51 eV per formula unit; V = 125.3 Å³/cell; formation energy without anion corrections = 949 meV/atom; M_tot = 4.6 μB/f.u.; density of states at the Fermi level = 3.59 states/eV per cell
1.0
5.004 0.000 0.000
0.000 5.004 0.000
0.000 0.000 5.004
Se W Ta
3 1 1
direct
0.000 0.000 0.500 Se
0.500 0.000 0.000 Se
0.000 0.500 0.000 Se
0.500 0.500 0.500 W
0.000 0.000 0.000 Ta

Which value of density of states at the Fermi level does entry 9 give? 4.02 states/eV per cell

Among the records above, which one has the highest V? Cs4PtBr